The following is a DFT calculation (PBE) of a geometry-optimized Sc4CdGeC2 structure.

```
data_Sc4CdGeC2
_symmetry_space_group_name_H-M 'P 1'
_symmetry_Int_Tables_number 1
_cell_length_a 3.324
_cell_length_b 3.324
_cell_length_c 14.759
_cell_angle_alpha 90.00
_cell_angle_beta 90.00
_cell_angle_gamma 120.00
loop_
_symmetry_equiv_pos_as_xyz
'x,y,z'
loop_
_atom_site_label
_atom_site_fract_x
_atom_site_fract_y
_atom_site_fract_z
Sc1 0.000 0.000 0.152
Sc2 0.000 0.000 0.848
Sc3 0.333 0.667 0.318
Sc4 0.333 0.667 0.682
Cd1 0.000 0.000 0.500
Ge1 0.333 0.667 0.000
C1 0.667 0.333 0.238
C2 0.667 0.333 0.762
```

Values from the calculation:
V ... 141.25 Å³/cell
Total moment ... 0.73 μB/cell
SG ... P-6m2
E_tot ... -53.65 eV for the cell shown

***

The following is a DFT calculation (PBE) of a geometry-optimized CdGeW4C2 structure.

```
data_CdGeW4C2
_symmetry_space_group_name_H-M 'P 1'
_symmetry_Int_Tables_number 1
_cell_length_a 3.106
_cell_length_b 3.106
_cell_length_c 13.488
_cell_angle_alpha 90.00
_cell_angle_beta 90.00
_cell_angle_gamma 120.00
loop_
_symmetry_equiv_pos_as_xyz
'x,y,z'
loop_
_atom_site_label
_atom_site_fract_x
_atom_site_fract_y
_atom_site_fract_z
Cd1 0.000 0.000 0.000
Ge1 0.667 0.333 0.500
W1 0.000 0.000 0.352
W2 0.000 0.000 0.648
W3 0.667 0.333 0.180
W4 0.667 0.333 0.820
C1 0.333 0.667 0.263
C2 0.333 0.667 0.737
```

Values from the calculation:
V ... 112.72 Å³/cell
Total moment ... 0.00 μB/cell
SG ... P-6m2
E_tot ... -74.20 eV for the cell shown